No. 1
Material: LiCeSe2
Method: DFT, GGA-PBE
State: relaxed

a b c (Å): 4.1670 4.1670 20.9266
angles (deg): 90.00 90.00 120.00
Space group R3m (No. 160, hexagonal axes)
Unique sites:
Li  0.0000  0.0000  0.0000
Ce  0.0000  0.0000  0.1798
Se  0.0000  0.0000  0.5969
Se  0.0000  0.0000  0.7662

Results
Energy = -5.242 eV/atom

No. 2
Material: PrGe4Pd4
Method: DFT, GGA-PBE
State: relaxed

a b c (Å): 6.2659 6.2659 8.4397
angles (deg): 90.00 90.00 90.00
Space group P4_2/nmc (No. 137, origin choice 2)
Unique sites:
Pr  0.2500  0.7500  0.2500
Ge  0.0336  0.2500  0.0618
Pd  0.0261  0.2500  0.3567

Results
Energy = -5.450 eV/atom
Formation energy = -0.56 eV/atom

Across the entries above, total moment takes the values 3.01; 0.00 Bohr magnetons per cell, respectively.